A plane-wave DFT calculation with PBE with a Hubbard U was carried out for SrSmDyMnO6 after structural relaxation.

Output
ρ (g/cm3): 6.86
Crystal system: cubic
VASP energy (Ry per atom): -0.546

a = 5.7353 Å, b = 5.7353 Å, c = 5.7353 Å
α = 60.00°, β = 60.00°, γ = 60.00°
Last column: magnetic moment on the atom in μB.
Fractional coordinates of all 10 atoms:
Sr  0.7500  0.7500  0.7500  0.01
Sm  0.2500  0.2500  0.2500  0.02
Dy  0.0000  0.0000  0.0000  -0.05
Mn  0.5000  0.5000  0.5000  3.02
O  0.2665  0.7335  0.2665  -0.02
O  0.7335  0.2665  0.7335  -0.02
O  0.2665  0.7335  0.7335  -0.02
O  0.7335  0.2665  0.2665  -0.02
O  0.2665  0.2665  0.7335  -0.02
O  0.7335  0.7335  0.2665  -0.02